Computed, not measured: Sr4Th3NpAs8 after structural relaxation at the PBE level of DFT.

Cell: 8.6867 8.7653 8.6867 Å, 119.70 120.00 90.00°
Last column: nearest neighbours and their distance in Å.
Fractional coordinates of all 16 atoms:
Sr 0.5000 0.0000 0.5000  6 As 3.18
As 0.7424 0.7271 0.4847  3 Th 2.99, 3 Sr 3.18
As 0.7623 0.2773 0.5246  1 Np 2.93, 2 Th 3.00, 3 Sr 3.18-3.24
Sr 0.0000 0.0000 0.0000  6 As 3.18
Th 0.5000 0.5000 0.5000  6 As 2.99-3.00
As 0.2377 0.7227 0.4754  1 Np 2.93, 2 Th 3.00, 3 Sr 3.18-3.24
As 0.7473 0.7227 0.9850  1 Np 2.93, 2 Th 3.00, 3 Sr 3.18-3.24
Sr 0.5000 0.0000 0.0000  6 As 3.24
Th 0.5000 0.5000 0.0000  6 As 2.99-3.00
Th 0.0000 0.5000 0.5000  6 As 2.99-3.00
Np 0.0000 0.5000 0.0000  6 As 2.93
As 0.2576 0.2729 0.5153  3 Th 2.99, 3 Sr 3.18
As 0.7623 0.2773 0.0150  1 Np 2.93, 2 Th 3.00, 3 Sr 3.18-3.24
As 0.2527 0.2773 0.0150  1 Np 2.93, 2 Th 3.00, 3 Sr 3.18-3.24
Sr 0.0000 0.0000 0.5000  6 As 3.18
As 0.2377 0.7227 0.9850  1 Np 2.93, 2 Th 3.00, 3 Sr 3.18-3.24

Computed properties:
Formation energy from the elements   -1.233 eV/atom
Symmetry   R-3m (166)
Calculated density   6.66 g cm⁻³
Electronic total energy   -6.178 eV per atom

---

Computed, not measured: Pm3Pr2Nd5 after structural relaxation at the PBE level of DFT.

Cell: 6.9473 12.6845 12.6845 Å, 44.58 74.11 74.11°
Last column: nearest neighbours and their distance in Å.
Fractional coordinates of all 20 atoms:
Nd 0.3723 0.7201 0.5352  1 Pr 2.97, 1 Pm 3.30
Nd 0.7500 0.5000 0.5000  6 Nd 3.46-3.47
Nd 0.1277 0.4648 0.2799  1 Pr 2.97, 1 Pm 3.30
Nd 0.9977 0.7523 0.7523  4 Nd 3.41-3.47, 2 Pr 3.45
Pm 0.7500 0.0000 0.0000  4 Pr 3.37, 2 Pm 3.47
Nd 0.5023 0.2477 0.2477  4 Nd 3.41-3.47, 2 Pr 3.45
Nd 0.2500 0.5000 0.5000  6 Nd 3.46-3.47
Pm 0.3771 0.3723 0.8736  1 Nd 3.30, 1 Pr 3.35
Pr 0.8783 0.2207 0.0227  1 Nd 2.97
Pr 0.1217 0.7793 0.9773  1 Nd 2.97
Pr 0.3783 0.0227 0.2207  1 Nd 2.97
Pm 0.8771 0.8736 0.3723  1 Nd 3.30, 1 Pr 3.35
Nd 0.0023 0.2477 0.2477  4 Nd 3.41-3.47, 2 Pr 3.45
Nd 0.4977 0.7523 0.7523  4 Nd 3.41-3.47, 2 Pr 3.45
Pm 0.2500 0.0000 0.0000  4 Pr 3.37, 2 Pm 3.47
Pr 0.6217 0.9773 0.7793  1 Nd 2.97
Pm 0.6229 0.6277 0.1264  1 Nd 3.30, 1 Pr 3.35
Pm 0.1229 0.1264 0.6277  1 Nd 3.30, 1 Pr 3.35
Nd 0.8723 0.5352 0.7201  1 Pr 2.97, 1 Pm 3.30
Nd 0.6277 0.2799 0.4648  1 Pr 2.97, 1 Pm 3.30

Computed properties:
Formation energy from the elements   0.346 eV/atom
Symmetry   Ibam (72)
Calculated density   6.37 g cm⁻³
Electronic total energy   -4.419 eV per atom

---

Computed, not measured: Tb3ZnAu5 after structural relaxation at the PBE level of DFT.

Cell: 8.4557 8.4557 13.4855 Å, 90.00 90.00 127.50°
Last column: nearest neighbours and their distance in Å.
Fractional coordinates of all 36 atoms:
Zn 0.4660 0.5340 0.7500  6 Au 2.70-2.71, 1 Zn 2.82
Au 0.0632 0.3171 0.7500  2 Zn 2.71, 1 Au 2.84
Au 0.0020 0.5690 0.8973  1 Zn 2.73, 2 Au 2.91-3.00, 3 Tb 2.95-3.00
Au 0.6879 0.7435 0.1050  1 Zn 2.70, 2 Au 2.91-2.95, 2 Tb 2.96-2.97
Au 0.9368 0.6829 0.2500  2 Zn 2.71, 1 Au 2.84
Tb 0.3696 0.6304 0.5384  8 Au 2.95-3.14, 2 Zn 3.16-3.21
Au 0.4310 0.9980 0.6027  1 Zn 2.73, 2 Au 2.91-3.00, 3 Tb 2.95-3.00
Tb 0.6304 0.3696 0.4616  8 Au 2.95-3.14, 2 Zn 3.16-3.21
Tb 0.6781 0.3219 0.7500  6 Au 2.97-3.28, 1 Zn 3.22
Au 0.7435 0.6879 0.6050  1 Zn 2.70, 2 Au 2.91-2.95, 2 Tb 2.96-2.97
Tb 0.8814 0.1186 0.5497  8 Au 3.00-3.28
Tb 0.6304 0.3696 0.0384  8 Au 2.95-3.14, 2 Zn 3.16-3.21
Au 0.9980 0.4310 0.1027  1 Zn 2.73, 2 Au 2.91-3.00, 3 Tb 2.95-3.00
Au 0.6879 0.7435 0.3950  1 Zn 2.70, 2 Au 2.91-2.95, 2 Tb 2.96-2.97
Tb 0.0740 0.9260 0.7500  4 Au 2.97, 1 Zn 3.13
Tb 0.1186 0.8814 0.4503  8 Au 3.00-3.28
Zn 0.2804 0.7196 0.7500  6 Au 2.71-2.73, 1 Zn 2.82
Au 0.3121 0.2565 0.6050  1 Zn 2.70, 2 Au 2.91-2.95, 2 Tb 2.96-2.97
Au 0.4310 0.9980 0.8973  1 Zn 2.73, 2 Au 2.91-3.00, 3 Tb 2.95-3.00
Au 0.3171 0.0632 0.2500  2 Zn 2.71, 1 Au 2.84
Tb 0.3696 0.6304 0.9616  8 Au 2.95-3.14, 2 Zn 3.16-3.21
Au 0.7435 0.6879 0.8950  1 Zn 2.70, 2 Au 2.91-2.95, 2 Tb 2.96-2.97
Zn 0.5340 0.4660 0.2500  6 Au 2.70-2.71, 1 Zn 2.82
Tb 0.9260 0.0740 0.2500  4 Au 2.97, 1 Zn 3.13
Au 0.2565 0.3121 0.1050  1 Zn 2.70, 2 Au 2.91-2.95, 2 Tb 2.96-2.97
Au 0.5690 0.0020 0.3973  1 Zn 2.73, 2 Au 2.91-3.00, 3 Tb 2.95-3.00
Tb 0.3219 0.6781 0.2500  6 Au 2.97-3.28, 1 Zn 3.22
Au 0.6829 0.9368 0.7500  2 Zn 2.71, 1 Au 2.84
Tb 0.1186 0.8814 0.0497  8 Au 3.00-3.28
Au 0.3121 0.2565 0.8950  1 Zn 2.70, 2 Au 2.91-2.95, 2 Tb 2.96-2.97
Tb 0.8814 0.1186 0.9503  8 Au 3.00-3.28
Zn 0.7196 0.2804 0.2500  6 Au 2.71-2.73, 1 Zn 2.82
Au 0.9980 0.4310 0.3973  1 Zn 2.73, 2 Au 2.91-3.00, 3 Tb 2.95-3.00
Au 0.0020 0.5690 0.6027  1 Zn 2.73, 2 Au 2.91-3.00, 3 Tb 2.95-3.00
Au 0.2565 0.3121 0.3950  1 Zn 2.70, 2 Au 2.91-2.95, 2 Tb 2.96-2.97
Au 0.5690 0.0020 0.1027  1 Zn 2.73, 2 Au 2.91-3.00, 3 Tb 2.95-3.00

Computed properties:
Formation energy from the elements   -0.790 eV/atom
Symmetry   Cmcm (63)
Calculated density   13.26 g cm⁻³
Electronic total energy   -4.295 eV per atom

---

Computed, not measured: Pm12Ge5Pd2 after structural relaxation at the PBE level of DFT.

Cell: 7.4136 9.2511 9.4696 Å, 102.81 90.00 113.62°
Last column: nearest neighbours and their distance in Å.
Fractional coordinates of all 19 atoms:
Ge 0.6969 0.3937 0.3630  7 Pm 2.99-3.12
Pm 0.0886 0.6613 0.9042  1 Pd 2.82, 3 Ge 3.04-3.15
Pm 0.4273 0.3387 0.0958  1 Pd 2.82, 3 Ge 3.04-3.15
Pm 0.4929 0.9857 0.7191  2 Pd 2.98, 2 Ge 3.11-3.12
Pm 0.5727 0.6613 0.9042  1 Pd 2.82, 3 Ge 3.04-3.15
Pm 0.9841 0.9681 0.1814  2 Pd 2.93, 1 Ge 2.96
Ge 0.3031 0.6063 0.6370  7 Pm 2.99-3.12
Ge 0.0000 0.0000 0.5000  6 Pm 2.96-3.06
Ge 0.6813 0.3627 0.8282  7 Pm 3.03-3.15
Pm 0.5071 0.0143 0.2809  2 Pd 2.98, 2 Ge 3.11-3.12
Pm 0.9114 0.3387 0.0958  1 Pd 2.82, 3 Ge 3.04-3.15
Pd 0.6880 0.0000 0.0000  1 Pd 2.79, 6 Pm 2.82-2.98
Pm 0.6073 0.6993 0.4275  4 Ge 2.99-3.09
Pm 0.9079 0.3007 0.5725  4 Ge 2.99-3.09
Pm 0.0921 0.6993 0.4275  4 Ge 2.99-3.09
Pm 0.0159 0.0319 0.8186  2 Pd 2.93, 1 Ge 2.96
Pm 0.3927 0.3007 0.5725  4 Ge 2.99-3.09
Pd 0.3120 0.0000 0.0000  1 Pd 2.79, 6 Pm 2.82-2.98
Ge 0.3187 0.6373 0.1718  7 Pm 3.03-3.15

Computed properties:
Formation energy from the elements   -0.500 eV/atom
Symmetry   C2/m (12)
Calculated density   6.66 g cm⁻³
Electronic total energy   -5.262 eV per atom

---

Computed, not measured: Ca7As2N2 after structural relaxation at the PBE level of DFT.

Cell: 6.3488 6.5898 6.3488 Å, 90.02 97.08 89.98°
Last column: nearest neighbours and their distance in Å.
Fractional coordinates of all 11 atoms:
Ca 0.0003 0.2299 0.5002  2 N 2.60
Ca 0.4998 0.2299 0.9997  2 N 2.60
N 0.7263 0.9999 0.2737  7 Ca 2.59-2.60
Ca 0.4997 0.7822 0.5003  2 N 2.59, 1 Ca 2.87
Ca 0.0000 0.0000 0.0000  2 N 2.60
As 0.2291 0.5000 0.2291  6 Ca 2.94-2.98
Ca 0.5002 0.7701 0.0003  2 N 2.60
As 0.7709 0.5000 0.7709  6 Ca 2.94-2.98
N 0.2737 0.0001 0.7263  7 Ca 2.59-2.60
Ca 0.9997 0.7701 0.4998  2 N 2.60
Ca 0.5003 0.2178 0.4997  2 N 2.59, 1 Ca 2.87

Computed properties:
E_form (uncorrected)   -667 meV/atom
Symmetry   Cmmm (65)
Calculated density   2.89 g cm⁻³
Electronic total energy   -4.300 eV per atom

---

Computed, not measured: LaTcBr2 after structural relaxation at the PBE level of DFT.

Cell: 5.2669 5.2669 5.2669 Å, 60.00 60.00 60.00°
Last column: nearest neighbours and their distance in Å.
Fractional coordinates of all 4 atoms:
La 0.5000 0.5000 0.5000  4 Br 3.23, 4 Tc 3.23
Br 0.7500 0.7500 0.7500  4 La 3.23, 4 Br 3.23
Br 0.0000 0.0000 0.0000  4 Tc 3.23, 4 Br 3.23
Tc 0.2500 0.2500 0.2500  4 Br 3.23, 4 La 3.23

Computed properties:
E_form (uncorrected)   128 meV/atom
Symmetry   F-43m (216)
Calculated density   6.38 g cm⁻³
Electronic total energy   -4.531 eV per atom